No. 1
VASP calculation (PBE) on a relaxed HfZnPd6 crystal.

Cell: 4.730 4.730 7.203 Å, 73.49 73.49 70.02°
Atoms (fractional coordinates):
Hf 0.500 0.500 0.500
Pd 0.451 0.935 0.703
Pd 0.065 0.549 0.297
Pd 0.935 0.451 0.703
Pd 0.549 0.065 0.297
Pd 0.647 0.647 0.064
Pd 0.353 0.353 0.936
Zn 0.000 0.000 0.000

Values from the calculation:
Formation energy, eV per formula unit: -2.27
Symmetry: C2/m (12)
Volume, Å³ per atom: 17.754
Energy relative to the lowest polymorph listed for this composition, meV/atom: 337
Uncorrected energy, eV/atom: -5.5813



No. 2
VASP calculation (PBE) on a relaxed TlIn2Sb crystal.

Cell: 11.305 11.305 11.305 Å, 17.51 17.51 17.51°
Atoms (fractional coordinates):
Tl 0.751 0.751 0.751
In 0.996 0.996 0.996
In 0.249 0.249 0.249
Sb 0.504 0.504 0.504

Values from the calculation:
Symmetry: R3m (160)
Volume, Å³ per atom: 28.545
Energy relative to the lowest polymorph listed for this composition, meV/atom: 19
Uncorrected energy, eV/atom: -2.9527
Raw formation energy, meV per atom: 39



No. 3
VASP calculation (PBE) on a relaxed CrMo3 crystal.

Cell: 6.210 6.201 6.201 Å, 89.67 89.90 89.90°
Atoms (fractional coordinates):
Mo 0.747 0.248 0.248
Mo 0.252 0.754 0.247
Mo 0.002 0.002 0.497
Mo 0.748 0.752 0.752
Mo 0.252 0.752 0.752
Mo 0.002 0.497 0.002
Mo 0.252 0.247 0.754
Mo 0.003 0.498 0.498
Mo 0.498 0.497 0.003
Mo 0.498 0.003 0.497
Mo 0.748 0.752 0.248
Mo 0.748 0.248 0.752
Cr 0.003 0.001 0.001
Cr 0.499 0.499 0.499
Cr 0.498 0.001 0.001
Cr 0.251 0.249 0.249

Values from the calculation:
Formation energy, eV per formula unit: 0.24
Symmetry: Cm (8)
Volume, Å³ per atom: 14.925
Uncorrected energy, eV/atom: -10.4689



No. 4
VASP calculation (PBE) on a relaxed Sn3Bi2 crystal.

Cell: 4.224 5.907 6.717 Å, 79.45 71.68 69.05°
Atoms (fractional coordinates):
Sn 0.898 0.801 0.402
Sn 0.102 0.199 0.598
Sn 0.500 0.000 0.000
Bi 0.702 0.390 0.206
Bi 0.298 0.610 0.794

Values from the calculation:
Formation energy, eV per formula unit: 0.45
Symmetry: C2/m (12)
Volume, Å³ per atom: 29.622
Energy relative to the lowest polymorph listed for this composition, meV/atom: 0
Uncorrected energy, eV/atom: -3.8640



No. 5
VASP calculation (PBE) on a relaxed NaHfPO2 crystal.

Cell: 3.968 3.968 4.522 Å, 90.00 90.00 90.00°
Atoms (fractional coordinates):
P 0.000 0.000 0.500
Hf 0.500 0.500 0.500
O 0.000 0.500 0.000
O 0.500 0.000 0.000
Na 0.000 0.000 0.000

Values from the calculation:
Symmetry: P4/mmm (123)
Volume, Å³ per atom: 14.237
Energy relative to the lowest polymorph listed for this composition, meV/atom: 1594
Uncorrected energy, eV/atom: -5.2544
Raw formation energy, meV per atom: 65



No. 6
VASP calculation (PBE) on a relaxed La4OsI2F crystal.

Cell: 4.185 6.991 8.560 Å, 106.75 90.00 90.00°
Atoms (fractional coordinates):
Os 0.500 0.500 0.000
F 0.000 0.000 0.000
La 0.000 0.270 0.811
La 0.000 0.730 0.189
La 0.500 0.770 0.810
La 0.500 0.230 0.190
I 0.500 0.000 0.500
I 0.000 0.500 0.500

Values from the calculation:
Symmetry: P2/m (10)
Volume, Å³ per atom: 29.979
Uncorrected energy, eV/atom: -5.7027
Raw formation energy, meV per atom: -1214



No. 7
VASP calculation (PBE) on a relaxed LiSn2Au6 crystal.

Cell: 4.990 6.283 6.662 Å, 75.63 68.01 66.60°
Atoms (fractional coordinates):
Li 0.000 0.500 0.500
Au 0.497 0.680 0.325
Au 0.320 0.186 0.175
Au 0.825 0.984 0.366
Au 0.175 0.016 0.634
Au 0.503 0.320 0.675
Au 0.680 0.814 0.825
Sn 0.144 0.685 0.027
Sn 0.856 0.315 0.973

Values from the calculation:
Formation energy, eV per formula unit: -1.55
Symmetry: C2/m (12)
Volume, Å³ per atom: 19.612
Energy relative to the lowest polymorph listed for this composition, meV/atom: 6
Uncorrected energy, eV/atom: -3.4598



No. 8
VASP calculation (PBE) on a relaxed NpScCd2O8 crystal.

Cell: 5.166 4.689 6.655 Å, 90.01 90.00 87.19°
Atoms (fractional coordinates):
Cd 0.500 0.500 0.254
Cd 0.500 0.500 0.746
O 0.131 0.761 0.752
O 0.869 0.239 0.248
O 0.591 0.871 0.500
O 0.695 0.774 0.000
O 0.131 0.761 0.248
O 0.409 0.129 0.500
O 0.869 0.239 0.752
O 0.305 0.226 0.000
Np 0.000 0.000 0.000
Sc 0.000 0.000 0.500

Values from the calculation:
Symmetry: P2/m (10)
Volume, Å³ per atom: 13.417
Uncorrected energy, eV/atom: -6.9766
Raw formation energy, meV per atom: -1913



Question: volume of number 3 (CrMo3)?
Answer: 14.925 Å³ per atom